Entry 1:
This record from the Alexandria database describes crystalline AgGeSe4 at its relaxed geometry. The functional is PBE.

N(E_F)	2.12	states/eV/f.u.
total energy	-3.59	eV per atom
calculated volume	25.12	Å³ per atom
uncorrected formation energy	-18	meV/atom

The structure in CIF format:
```
data_AgGeSe4
_cell_length_a 5.702
_cell_length_b 6.816
_cell_length_c 8.333
_cell_angle_alpha 90.00
_cell_angle_beta 111.43
_cell_angle_gamma 90.00
_symmetry_space_group_name_H-M 'P 1 2/c 1'
_symmetry_Int_Tables_number 13
loop_
_symmetry_equiv_pos_as_xyz
'x,y,z'
'-x,-y,-z'
'-x,y,-z+1/2'
'x,-y,z+1/2'
loop_
_atom_site_label
_atom_site_fract_x
_atom_site_fract_y
_atom_site_fract_z
Ag1 0.000 0.169 0.250
Ge1 0.500 0.261 0.750
Se1 0.246 0.459 0.865
Se2 0.288 0.002 0.537
```

***

Entry 2:
This record from the Alexandria database describes crystalline Tl2PO4 at its relaxed geometry. The functional is PBE.

energy above the lowest structure with this stoichiometry	0.335	eV per formula unit
N(E_F)	2.18	states/eV/f.u.
total energy	-5.78	eV per atom
calculated volume	16.55	Å³ per atom
uncorrected formation energy	-1496	meV/atom

The structure in CIF format:
```
data_Tl2PO4
_cell_length_a 8.123
_cell_length_b 5.746
_cell_length_c 9.928
_cell_angle_alpha 90.00
_cell_angle_beta 90.00
_cell_angle_gamma 90.00
_symmetry_space_group_name_H-M 'P n m a'
_symmetry_Int_Tables_number 62
loop_
_symmetry_equiv_pos_as_xyz
'x,y,z'
'-x,-y,-z'
'-x+1/2,-y,z+1/2'
'x+1/2,y,-z+1/2'
'x+1/2,-y+1/2,-z+1/2'
'-x+1/2,y+1/2,z+1/2'
'-x,y+1/2,-z'
'x,-y+1/2,z'
loop_
_atom_site_label
_atom_site_fract_x
_atom_site_fract_y
_atom_site_fract_z
Tl1 0.095 0.250 0.184
Tl2 0.141 0.250 0.523
P1 0.116 0.250 0.864
O1 0.052 0.750 0.064
O2 0.133 0.028 0.771
O3 0.244 0.750 0.473
```

***

> The highest uncorrected formation energy belongs to which entry?

AgGeSe4